# 1
The following is a PBE-GGA calculation of Na2TbDy3Te6 after structural relaxation, from Alexandria via LeMat-Bulk.

Output
Uncorrected formation energy   -1310 meV per atom
Calculated volume   30.36 A^3/atom
Space-group type   C2/m

Cell: 7.599 7.599 7.708 Å, 99.44 99.44 119.95°
Element x y z (fractional)
Na 0.334 0.666 0.000
Na 0.666 0.334 0.000
Tb 0.000 0.000 0.000
Dy 0.169 0.831 0.500
Dy 0.831 0.169 0.500
Dy 0.500 0.500 0.500
Te 0.916 0.585 0.747
Te 0.756 0.756 0.257
Te 0.084 0.415 0.253
Te 0.585 0.916 0.747
Te 0.244 0.244 0.743
Te 0.415 0.084 0.253

# 2
The following is a PBE-GGA calculation of KTcNO2 after structural relaxation, from Alexandria via LeMat-Bulk.

Output
Uncorrected formation energy   2046 meV per atom
Calculated volume   18.53 A^3/atom
Space-group type   P4/mmm

Cell: 4.495 4.495 4.587 Å, 90.00 90.00 90.00°
Element x y z (fractional)
K 0.000 0.000 0.000
Tc 0.500 0.500 0.500
O 0.000 0.500 0.000
O 0.500 0.000 0.000
N 0.000 0.000 0.500

# 3
The following is a PBE-GGA calculation of SrU4Se8 after structural relaxation, from Alexandria via LeMat-Bulk.

Output
E above lowest polymorph   0 meV per atom
Uncorrected formation energy   -1265 meV per atom
Calculated volume   34.09 A^3/atom
Space-group type   C2/m

Cell: 8.248 8.248 8.574 Å, 103.25 104.70 119.86°
Element x y z (fractional)
Sr 0.000 0.500 0.500
U 0.246 0.246 0.000
U 0.754 0.754 0.000
U 0.262 0.765 0.026
U 0.738 0.235 0.974
Se 0.705 0.036 0.214
Se 0.178 0.510 0.214
Se 0.691 0.511 0.202
Se 0.190 0.029 0.219
Se 0.810 0.971 0.781
Se 0.309 0.489 0.798
Se 0.822 0.490 0.786
Se 0.295 0.964 0.786

# 4
The following is a PBE-GGA calculation of HoEr4Tm5 after structural relaxation, from Alexandria via LeMat-Bulk.

Output
E above lowest polymorph   290 meV per atom
Calculated volume   31.32 A^3/atom
Formation energy from the elements   30.4 kJ per mole of atoms
Space-group type   I4

Cell: 6.222 7.747 7.747 Å, 80.72 66.33 66.33°
Element x y z (fractional)
Ho 0.222 0.000 0.000
Er 0.402 0.395 0.703
Er 0.798 0.703 0.605
Er 0.105 0.297 0.395
Er 0.500 0.605 0.297
Tm 0.807 0.376 0.910
Tm 0.183 0.910 0.624
Tm 0.718 0.090 0.376
Tm 0.094 0.624 0.090
Tm 0.682 0.000 0.000